No. 1
12
Lattice="-2.1619 7.4341 -5.5594 0.8595 -1.7265 -2.6429 -4.9452 -1.7741 -0.4493" Properties=species:S:1:pos:R:3 comment="FeAsC (PBE-GGA, relaxed)" e_form_ev_per_atom=0.471 volume_a3_per_cell=164 e_above_lowest_polymorph_mev_per_atom=33 space_group="Imm2, No. 44" pbc="T T T"
C -5.3471 3.2890 -5.9126
C -3.2687 4.9171 -4.2752
C -4.2306 -0.5502 -3.0416
C -2.2233 1.3223 -1.5868
As -0.8518 -1.3230 -1.4379
As -2.9860 -1.0713 -0.2713
As -4.8351 2.3702 -3.1208
As -1.1646 2.6696 -4.1478
Fe -4.9816 4.3799 -4.4812
Fe -0.9983 0.6867 -2.7983
Fe -2.0741 4.3860 -5.5648
Fe -3.8955 0.6451 -1.6883

No. 2
6
Lattice="-3.9667 -2.6885 1.7881 -4.6851 0.7873 -1.8948 -2.2044 -3.5634 -2.9331" Properties=species:S:1:pos:R:3 comment="SrCu4Pt (PBE-GGA, relaxed)" e_form_ev_per_atom=-0.128 volume_a3_per_cell=95 space_group="F-43m, No. 216" pbc="T T T"
Cu -5.1764 -3.8176 -2.5933
Cu -6.4017 -1.6687 -2.0804
Cu -6.0469 -3.3855 -0.2614
Cu -4.0876 -2.0575 -1.1445
Pt -8.1422 -4.0985 -2.2798
Sr 0.0000 0.0000 0.0000

No. 3
6
Lattice="5.3480 0.0000 0.0000 2.6740 4.6315 0.0000 2.6740 1.5438 4.3666" Properties=species:S:1:pos:R:3 comment="PuNpTc4 (PBE-GGA, relaxed)" e_form_ev_per_atom=0.145 volume_a3_per_cell=108 space_group="F-43m, No. 216" pbc="T T T"
Tc 5.3480 3.0877 0.5458
Tc 4.0110 3.8596 2.7292
Tc 5.3480 1.5438 2.7292
Tc 6.6851 3.8596 2.7292
Pu 0.0000 0.0000 0.0000
Np 2.6740 1.5438 1.0917